# 1
DFT (PBE) results for a geometry-optimized CoSnAu structure.

It has space group Amm2 (No. 38), with a = 3.1255 Å, b = 3.0769 Å, c = 10.9853 Å, α = 90.00°, β = 90.00° and γ = 90.00°. The inequivalent atoms are Co at (0.0000, 0.0000, 0.0000), Sn at (0.5000, 0.0000, 0.3685) and Au at (0.5000, 0.0000, 0.6516).

As for the density of states at the Fermi level: 4.571 states/eV per cell. Its formation energy is 0.149 eV/atom. Its total moment is 0.77 μB/f.u. As for the crystal system: orthorhombic.



# 2
DFT (PBE) results for a geometry-optimized Tb4PCS2 structure.

It has space group P2/m (No. 10), with a = 6.7506 Å, b = 3.8583 Å, c = 6.7946 Å, α = 90.00°, β = 109.00° and γ = 90.00°. The inequivalent atoms are Tb at (0.2245, 0.0000, 0.2213), Tb at (0.2375, 0.5000, 0.7695), P at (0.5000, 0.0000, 0.0000), C at (0.0000, 0.5000, 0.0000), S at (0.0000, 0.0000, 0.5000) and S at (0.5000, 0.5000, 0.5000).

As for the density of states at the Fermi level: 1.346 states/eV per cell. For the energy relative to the elements, uncorrected, the calculation gives -1560 meV/atom. Its total moment is 0.00 μB/f.u. As for the crystal system: monoclinic.



# 3
DFT (PBE) results for a geometry-optimized Sr3ReN4 structure.

It has space group Pmn2_1 (No. 31), with a = 7.9332 Å, b = 7.0725 Å, c = 5.7357 Å, α = 90.00°, β = 90.00° and γ = 90.00°. The inequivalent atoms are Sr at (0.0000, 0.1447, 0.0000), Sr at (0.2468, 0.3388, 0.5052), Re at (0.0000, 0.8340, 0.4636), N at (0.0000, 0.0913, 0.5368), N at (0.0000, 0.8228, 0.1437) and N at (0.1944, 0.7110, 0.5598).

As for the density of states at the Fermi level: 2.445 states/eV per cell. For the energy relative to the elements, uncorrected, the calculation gives -735 meV/atom. Its total moment is 0.98 μB/f.u. As for the crystal system: orthorhombic.



# 4
DFT (PBE) results for a geometry-optimized RuC structure.

It has space group P-62m (No. 189), with a = 5.1602 Å, b = 5.1602 Å, c = 2.8064 Å, α = 90.00°, β = 90.00° and γ = 120.00°. The inequivalent atoms are Ru at (0.0000, 0.3784, 0.0000), C at (0.0000, 0.0000, 0.0000) and C at (0.3333, 0.6667, 0.5000).

The value obtained for the energy above the lowest structure with this stoichiometry is 174 meV/atom. As for the density of states at the Fermi level: 1.155 states/eV per cell. Its formation energy is 0.539 eV/atom. Its total moment is 0.00 μB/f.u. As for the crystal system: hexagonal.



# 5
DFT (PBE) results for a geometry-optimized LiZn3Ag5 structure.

It has space group P6_3/mcm (No. 193), with a = 7.8664 Å, b = 7.8664 Å, c = 5.5940 Å, α = 90.00°, β = 90.00° and γ = 120.00°. The inequivalent atoms are Li at (0.0000, 0.0000, 0.0000), Zn at (0.0000, 0.3449, 0.2500), Ag at (0.0000, 0.3169, 0.7500) and Ag at (0.3333, 0.6667, 0.0000).

The value obtained for the energy above the lowest structure with this stoichiometry is 0 meV/atom. As for the density of states at the Fermi level: 6.467 states/eV per cell. Its formation energy is -0.058 eV/atom. Its total moment is 0.00 μB/f.u. As for the crystal system: hexagonal.



# 6
DFT (PBE) results for a geometry-optimized KSr2BH structure.

It has space group P4/mmm (No. 123), with a = 5.1963 Å, b = 5.1963 Å, c = 4.7724 Å, α = 90.00°, β = 90.00° and γ = 90.00°. The inequivalent atoms are K at (0.0000, 0.0000, 0.0000), Sr at (0.0000, 0.5000, 0.5000), B at (0.5000, 0.5000, 0.0000) and H at (0.0000, 0.0000, 0.5000).

As for the density of states at the Fermi level: 4.656 states/eV per cell. Its total moment is 0.87 μB/f.u. As for the crystal system: tetragonal. As for the total energy: -11.682 eV for the cell shown.



# 7
DFT (PBE) results for a geometry-optimized PuZrIrRh structure.

It has space group F-43m (No. 216), with a = 6.7347 Å, b = 6.7347 Å, c = 6.7347 Å, α = 90.00°, β = 90.00° and γ = 90.00°. The inequivalent atoms are Pu at (0.0000, 0.0000, 0.0000), Zr at (0.0000, 0.0000, 0.5000), Ir at (0.2500, 0.2500, 0.2500) and Rh at (0.2500, 0.2500, 0.7500).

As for the density of states at the Fermi level: 34.321 states/eV per cell. Its formation energy is -0.561 eV/atom. Its total moment is 5.24 μB/f.u. As for the crystal system: cubic.



# 8
DFT (PBE) results for a geometry-optimized AcErIn2S6 structure.

It has space group R3 (No. 146, hexagonal axes), with a = 6.9713 Å, b = 6.9713 Å, c = 18.1206 Å, α = 90.00°, β = 90.00° and γ = 120.00°. The inequivalent atoms are Ac at (0.0000, 0.0000, 0.0000), Er at (0.0000, 0.0000, 0.4851), In at (0.0000, 0.0000, 0.2739), In at (0.0000, 0.0000, 0.7822), S at (0.0180, 0.3142, 0.8786) and S at (0.0258, 0.6129, 0.0486).

For the energy relative to the elements, uncorrected, the calculation gives -1271 meV/atom. Its total moment is 0.00 μB/f.u. As for the crystal system: trigonal.



# 9
DFT (PBE) results for a geometry-optimized CeInSe2 structure.

It has space group P6_3/mmc (No. 194), with a = 4.2885 Å, b = 4.2885 Å, c = 15.5240 Å, α = 90.00°, β = 90.00° and γ = 120.00°. The inequivalent atoms are Ce at (0.0000, 0.0000, 0.0000), In at (0.3333, 0.6667, 0.2500) and Se at (0.3333, 0.6667, 0.6057).

The value obtained for the energy above the lowest structure with this stoichiometry is 0 meV/atom. As for the density of states at the Fermi level: 14.254 states/eV per cell. For the energy relative to the elements, uncorrected, the calculation gives -1222 meV/atom. Its total moment is 1.00 μB/f.u. As for the crystal system: hexagonal.



# 10
DFT (PBE) results for a geometry-optimized NaLi6Ca5 structure.

It has space group C2/m (No. 12), with a = 9.6528 Å, b = 16.8779 Å, c = 5.6035 Å, α = 90.00°, β = 125.39° and γ = 90.00°. The inequivalent atoms are Na at (0.0000, 0.0000, 0.0000), Li at (0.2313, 0.0000, 0.7322), Li at (0.2403, 0.1616, 0.2402), Ca at (0.0000, 0.1760, 0.5000), Ca at (0.0000, 0.3360, 0.0000) and Ca at (0.0000, 0.5000, 0.5000).

As for the density of states at the Fermi level: 15.770 states/eV per cell. Its formation energy is 0.034 eV/atom. Its total moment is 0.00 μB/f.u. As for the crystal system: monoclinic.



# 11
DFT (PBE) results for a geometry-optimized HfNbC structure.

It has space group R3m (No. 160, hexagonal axes), with a = 3.1592 Å, b = 3.1592 Å, c = 16.1311 Å, α = 90.00°, β = 90.00° and γ = 120.00°. The inequivalent atoms are Hf at (0.0000, 0.0000, 0.0000), Nb at (0.0000, 0.0000, 0.8266) and C at (0.0000, 0.0000, 0.2456).

The value obtained for the energy above the lowest structure with this stoichiometry is 462 meV/atom. As for the density of states at the Fermi level: 8.237 states/eV per cell. Its formation energy is -0.088 eV/atom. Its total moment is 0.00 μB/f.u. As for the crystal system: trigonal.



> Among the records above, which one has the highest total moment?

PuZrIrRh